[1]
# MnCd2W

A geometry-optimized MnCd2W structure (GGA-PBE, Alexandria).

Cell: 4.975 4.975 2.907 Å, 90.00 90.00 90.00°
Space group P4/mmm (No. 123)
Inequivalent atoms, fractional coordinates:
1 Mn 0.000 0.000 0.000 (multiplicity 1)
2 Cd 0.000 0.500 0.500 (multiplicity 2)
3 W 0.500 0.500 0.000 (multiplicity 1)

Energy relative to the elements = 0.708 eV/atom

[2]
# Mn2CdW

A geometry-optimized Mn2CdW structure (GGA-PBE, Alexandria).

Cell: 3.121 4.383 8.835 Å, 90.00 90.00 90.00°
Space group Imm2 (No. 44)
Inequivalent atoms, fractional coordinates:
1 Mn 0.000 0.000 0.000 (multiplicity 2)
2 Mn 0.000 0.500 0.254 (multiplicity 2)
3 Cd 0.000 0.000 0.490 (multiplicity 2)
4 W 0.000 0.500 0.717 (multiplicity 2)

Energy relative to the elements = 0.460 eV/atom

[3]
# MnCdW

A geometry-optimized MnCdW structure (GGA-PBE, Alexandria).

Cell: 2.754 2.754 13.114 Å, 90.00 90.00 90.00°
Space group I4mm (No. 107)
Inequivalent atoms, fractional coordinates:
1 Mn 0.000 0.000 0.000 (multiplicity 2)
2 Cd 0.000 0.000 0.330 (multiplicity 2)
3 W 0.000 0.000 0.650 (multiplicity 2)

Energy relative to the elements = 0.455 eV/atom

[4]
# MnCd2W

A geometry-optimized MnCd2W structure (GGA-PBE, Alexandria).

Cell: 3.312 4.587 9.305 Å, 90.00 90.00 90.00°
Space group Cmm2 (No. 35)
Inequivalent atoms, fractional coordinates:
1 Mn 0.000 0.000 0.000 (multiplicity 2)
2 Cd 0.000 0.000 0.535 (multiplicity 2)
3 Cd 0.000 0.500 0.245 (multiplicity 2)
4 W 0.000 0.500 0.800 (multiplicity 2)

Energy relative to the elements = 0.334 eV/atom

[5]
# Mn2CdW

A geometry-optimized Mn2CdW structure (GGA-PBE, Alexandria).

Cell: 4.864 2.729 5.170 Å, 90.00 115.19 90.00°
Space group P2/m (No. 10)
Inequivalent atoms, fractional coordinates:
1 Mn 0.000 0.000 0.000 (multiplicity 1)
2 Mn 0.000 0.500 0.500 (multiplicity 1)
3 Cd 0.500 0.000 0.500 (multiplicity 1)
4 W 0.500 0.500 0.000 (multiplicity 1)

Energy relative to the elements = 0.559 eV/atom

[6]
# MnCd2W

A geometry-optimized MnCd2W structure (GGA-PBE, Alexandria).

Cell: 3.071 4.872 9.453 Å, 90.00 90.00 90.00°
Space group Imm2 (No. 44)
Inequivalent atoms, fractional coordinates:
1 Mn 0.000 0.000 0.000 (multiplicity 2)
2 Cd 0.000 0.000 0.466 (multiplicity 2)
3 Cd 0.000 0.500 0.242 (multiplicity 2)
4 W 0.000 0.500 0.688 (multiplicity 2)

Energy relative to the elements = 0.547 eV/atom

[7]
# MnCdW4

A geometry-optimized MnCdW4 structure (GGA-PBE, Alexandria).

Cell: 7.500 7.500 7.500 Å, 90.00 90.00 90.00°
Space group F-43m (No. 216)
Inequivalent atoms, fractional coordinates:
1 Mn 0.000 0.000 0.000 (multiplicity 4)
2 Cd 0.250 0.250 0.750 (multiplicity 4)
3 W 0.124 0.124 0.376 (multiplicity 16)

Energy relative to the elements = 0.658 eV/atom

[8]
# MnCd2W

A geometry-optimized MnCd2W structure (GGA-PBE, Alexandria).

Cell: 2.9509 2.9509 28.6683 Å, 90.00 90.00 120.00°
Space group R3m (No. 160, hexagonal axes)
Inequivalent atoms, fractional coordinates:
1 Mn 0.0000 0.0000 0.0000 (multiplicity 3)
2 Cd 0.0000 0.0000 0.2503 (multiplicity 3)
3 Cd 0.0000 0.0000 0.4844 (multiplicity 3)
4 W 0.0000 0.0000 0.7278 (multiplicity 3)

Energy relative to the elements = 0.369 eV/atom

[9]
# MnCd2W

A geometry-optimized MnCd2W structure (GGA-PBE, Alexandria).

Cell: 2.9095 2.9095 29.2914 Å, 90.00 90.00 120.00°
Space group R-3m (No. 166, hexagonal axes)
Inequivalent atoms, fractional coordinates:
1 Mn 0.0000 0.0000 0.0000 (multiplicity 3)
2 Cd 0.0000 0.0000 0.2518 (multiplicity 6)
3 W 0.0000 0.0000 0.5000 (multiplicity 3)

Energy relative to the elements = 0.549 eV/atom

[10]
# Mn3CdW

A geometry-optimized Mn3CdW structure (GGA-PBE, Alexandria).

Cell: 4.634 4.634 4.634 Å, 90.00 90.00 90.00°
Space group Pm-3m (No. 221)
Inequivalent atoms, fractional coordinates:
1 Mn 0.000 0.000 0.500 (multiplicity 3)
2 Cd 0.500 0.500 0.500 (multiplicity 1)
3 W 0.000 0.000 0.000 (multiplicity 1)

Energy relative to the elements = 1.264 eV/atom

[11]
# Mn2CdW2

A geometry-optimized Mn2CdW2 structure (GGA-PBE, Alexandria).

Cell: 7.269 7.269 2.847 Å, 90.00 90.00 90.00°
Space group P4/mbm (No. 127)
Inequivalent atoms, fractional coordinates:
1 Mn 0.139 0.361 0.000 (multiplicity 4)
2 Cd 0.000 0.000 0.000 (multiplicity 2)
3 W 0.154 0.654 0.500 (multiplicity 4)

Energy relative to the elements = 0.398 eV/atom

[12]
# MnCdW3

A geometry-optimized MnCdW3 structure (GGA-PBE, Alexandria).

Cell: 4.519 4.519 4.519 Å, 90.00 90.00 90.00°
Space group Pm-3m (No. 221)
Inequivalent atoms, fractional coordinates:
1 Mn 0.000 0.000 0.000 (multiplicity 1)
2 Cd 0.500 0.500 0.500 (multiplicity 1)
3 W 0.000 0.000 0.500 (multiplicity 3)

Energy relative to the elements = 1.328 eV/atom

[13]
# Mn3CdW

A geometry-optimized Mn3CdW structure (GGA-PBE, Alexandria).

Cell: 4.796 4.796 4.796 Å, 90.00 90.00 90.00°
Space group Pm-3m (No. 221)
Inequivalent atoms, fractional coordinates:
1 Mn 0.000 0.000 0.500 (multiplicity 3)
2 Cd 0.000 0.000 0.000 (multiplicity 1)
3 W 0.500 0.500 0.500 (multiplicity 1)

Energy relative to the elements = 1.982 eV/atom

[14]
# MnCdW

A geometry-optimized MnCdW structure (GGA-PBE, Alexandria).

Cell: 3.303 4.487 13.371 Å, 90.00 90.00 90.00°
Space group Fmm2 (No. 42)
Inequivalent atoms, fractional coordinates:
1 Mn 0.000 0.000 0.000 (multiplicity 4)
2 Cd 0.000 0.000 0.327 (multiplicity 4)
3 W 0.000 0.000 0.641 (multiplicity 4)

Energy relative to the elements = 0.404 eV/atom

[15]
# MnCdW

A geometry-optimized MnCdW structure (GGA-PBE, Alexandria).

Cell: 4.4821 4.4821 2.7475 Å, 90.00 90.00 120.00°
Space group P3m1 (No. 156)
Inequivalent atoms, fractional coordinates:
1 Mn 0.0000 0.0000 0.0000 (multiplicity 1)
2 Cd 0.6667 0.3333 0.6720 (multiplicity 1)
3 W 0.3333 0.6667 0.2289 (multiplicity 1)

Energy relative to the elements = 0.535 eV/atom

[16]
# MnCd2W

A geometry-optimized MnCd2W structure (GGA-PBE, Alexandria).

Cell: 2.790 4.433 5.673 Å, 90.00 90.00 90.00°
Space group Pmmm (No. 47)
Inequivalent atoms, fractional coordinates:
1 Mn 0.000 0.000 0.000 (multiplicity 1)
2 Cd 0.500 0.500 0.247 (multiplicity 2)
3 W 0.000 0.000 0.500 (multiplicity 1)

Energy relative to the elements = 0.583 eV/atom

[17]
# MnCd2W

A geometry-optimized MnCd2W structure (GGA-PBE, Alexandria).

Cell: 7.508 7.508 5.435 Å, 90.00 90.00 90.00°
Space group I-42d (No. 122)
Inequivalent atoms, fractional coordinates:
1 Mn 0.000 0.000 0.000 (multiplicity 4)
2 Cd 0.237 0.250 0.125 (multiplicity 8)
3 W 0.000 0.000 0.500 (multiplicity 4)

Energy relative to the elements = 1.078 eV/atom

[18]
# Mn2CdW

A geometry-optimized Mn2CdW structure (GGA-PBE, Alexandria).

Cell: 5.960 6.853 2.946 Å, 90.00 90.00 90.00°
Space group Cmmm (No. 65)
Inequivalent atoms, fractional coordinates:
1 Mn 0.250 0.250 0.000 (multiplicity 4)
2 Cd 0.000 0.000 0.500 (multiplicity 2)
3 W 0.000 0.500 0.500 (multiplicity 2)

Energy relative to the elements = 0.420 eV/atom

[19]
# Mn2CdW4

A geometry-optimized Mn2CdW4 structure (GGA-PBE, Alexandria).

Cell: 4.788 4.788 12.114 Å, 90.00 90.00 90.00°
Space group I4/mmm (No. 139)
Inequivalent atoms, fractional coordinates:
1 Mn 0.000 0.000 0.100 (multiplicity 4)
2 Cd 0.000 0.000 0.500 (multiplicity 2)
3 W 0.000 0.000 0.279 (multiplicity 4)
4 W 0.000 0.500 0.000 (multiplicity 4)

Energy relative to the elements = 2.385 eV/atom

[20]
# MnCd2W

A geometry-optimized MnCd2W structure (GGA-PBE, Alexandria).

Cell: 3.061 4.646 4.908 Å, 90.00 90.00 90.00°
Space group Pmmm (No. 47)
Inequivalent atoms, fractional coordinates:
1 Mn 0.000 0.000 0.000 (multiplicity 1)
2 Cd 0.000 0.500 0.500 (multiplicity 1)
3 Cd 0.500 0.000 0.500 (multiplicity 1)
4 W 0.500 0.500 0.000 (multiplicity 1)

Energy relative to the elements = 0.620 eV/atom

[21]
# MnCd2W

A geometry-optimized MnCd2W structure (GGA-PBE, Alexandria).

Cell: 9.277 2.825 5.412 Å, 90.00 97.22 90.00°
Space group Cm (No. 8)
Inequivalent atoms, fractional coordinates:
1 Mn 0.000 0.000 0.000 (multiplicity 2)
2 Cd 0.006 0.500 0.538 (multiplicity 2)
3 Cd 0.251 0.500 0.291 (multiplicity 2)
4 W 0.258 0.000 0.819 (multiplicity 2)

Energy relative to the elements = 0.537 eV/atom

[22]
# Mn2CdW

A geometry-optimized Mn2CdW structure (GGA-PBE, Alexandria).

Cell: 3.360 4.399 8.500 Å, 90.00 90.00 90.00°
Space group Cmmm (No. 65)
Inequivalent atoms, fractional coordinates:
1 Mn 0.000 0.000 0.230 (multiplicity 4)
2 Cd 0.000 0.500 0.500 (multiplicity 2)
3 W 0.000 0.500 0.000 (multiplicity 2)

Energy relative to the elements = 0.311 eV/atom

[23]
# Mn2CdW

A geometry-optimized Mn2CdW structure (GGA-PBE, Alexandria).

Cell: 2.7957 2.7957 27.4624 Å, 90.00 90.00 120.00°
Space group R3m (No. 160, hexagonal axes)
Inequivalent atoms, fractional coordinates:
1 Mn 0.0000 0.0000 0.0000 (multiplicity 3)
2 Mn 0.0000 0.0000 0.2654 (multiplicity 3)
3 Cd 0.0000 0.0000 0.7555 (multiplicity 3)
4 W 0.0000 0.0000 0.5178 (multiplicity 3)

Energy relative to the elements = 0.435 eV/atom

[24]
# MnCd2W

A geometry-optimized MnCd2W structure (GGA-PBE, Alexandria).

Cell: 3.923 3.923 9.047 Å, 90.00 90.00 90.00°
Space group I4/mmm (No. 139)
Inequivalent atoms, fractional coordinates:
1 Mn 0.000 0.000 0.000 (multiplicity 2)
2 Cd 0.000 0.500 0.250 (multiplicity 4)
3 W 0.000 0.000 0.500 (multiplicity 2)

Energy relative to the elements = 0.665 eV/atom

[25]
# Mn2CdW

A geometry-optimized Mn2CdW structure (GGA-PBE, Alexandria).

Cell: 6.977 6.977 5.529 Å, 90.00 90.00 90.00°
Space group I-42d (No. 122)
Inequivalent atoms, fractional coordinates:
1 Mn 0.216 0.750 0.125 (multiplicity 8)
2 Cd 0.000 0.000 0.500 (multiplicity 4)
3 W 0.000 0.000 0.000 (multiplicity 4)

Energy relative to the elements = 0.898 eV/atom

[26]
# MnCd2W

A geometry-optimized MnCd2W structure (GGA-PBE, Alexandria).

Cell: 2.825 2.825 8.843 Å, 90.00 90.00 90.00°
Space group P4/mmm (No. 123)
Inequivalent atoms, fractional coordinates:
1 Mn 0.000 0.000 0.000 (multiplicity 1)
2 Cd 0.500 0.500 0.242 (multiplicity 2)
3 W 0.000 0.000 0.500 (multiplicity 1)

Energy relative to the elements = 0.503 eV/atom

[27]
# MnCdW

A geometry-optimized MnCdW structure (GGA-PBE, Alexandria).

Cell: 6.018 6.018 6.018 Å, 90.00 90.00 90.00°
Space group F-43m (No. 216)
Inequivalent atoms, fractional coordinates:
1 Mn 0.000 0.000 0.000 (multiplicity 4)
2 Cd 0.250 0.250 0.750 (multiplicity 4)
3 W 0.250 0.250 0.250 (multiplicity 4)

Energy relative to the elements = 0.947 eV/atom

[28]
# MnCd2W

A geometry-optimized MnCd2W structure (GGA-PBE, Alexandria).

Cell: 5.708 8.892 2.786 Å, 90.00 90.00 90.00°
Space group Cmmm (No. 65)
Inequivalent atoms, fractional coordinates:
1 Mn 0.000 0.000 0.000 (multiplicity 2)
2 Cd 0.250 0.250 0.500 (multiplicity 4)
3 W 0.000 0.500 0.000 (multiplicity 2)

Energy relative to the elements = 0.555 eV/atom

[29]
# Mn2CdW

A geometry-optimized Mn2CdW structure (GGA-PBE, Alexandria).

Cell: 3.096 3.096 6.471 Å, 90.00 90.00 90.00°
Space group P4/mmm (No. 123)
Inequivalent atoms, fractional coordinates:
1 Mn 0.000 0.000 0.212 (multiplicity 2)
2 Cd 0.500 0.500 0.500 (multiplicity 1)
3 W 0.500 0.500 0.000 (multiplicity 1)

Energy relative to the elements = 0.254 eV/atom

[30]
# Mn2CdW

A geometry-optimized Mn2CdW structure (GGA-PBE, Alexandria).

Cell: 2.738 4.097 5.544 Å, 90.00 98.36 90.00°
Space group Pm (No. 6)
Inequivalent atoms, fractional coordinates:
1 Mn 0.000 0.000 0.000 (multiplicity 1)
2 Mn 0.469 0.500 0.237 (multiplicity 1)
3 Cd 0.456 0.500 0.743 (multiplicity 1)
4 W 0.874 0.000 0.433 (multiplicity 1)

Energy relative to the elements = 0.457 eV/atom

no.,M_tot (μB/cell),DFT total energy (eV per atom),DOS at the Fermi energy (states/eV/f.u.)
1,3.75,-5.281,3.31
2,6.94,-7.592,3.18
3,6.54,-7.224,2.67
4,4.72,-5.654,2.81
5,5.11,-7.493,3.81
6,2.42,-5.442,2.30
7,8.75,-9.658,4.97
8,5.02,-5.619,2.96
9,11.08,-5.439,3.56
10,7.53,-7.011,7.10
11,1.20,-8.634,4.09
12,0.00,-8.460,3.73
13,8.78,-6.293,6.78
14,9.66,-7.276,2.11
15,1.54,-7.144,2.84
16,2.55,-5.405,2.88
17,11.85,-4.910,2.51
18,8.19,-7.632,2.93
19,2.45,-7.768,8.37
20,2.49,-5.368,2.93
21,5.41,-5.452,3.06
22,10.55,-7.741,3.79
23,0.84,-7.617,4.48
24,4.60,-5.324,3.10
25,16.00,-7.154,1.93
26,3.74,-5.485,2.81
27,4.34,-6.732,3.61
28,7.02,-5.433,2.88
29,4.20,-7.798,3.72
30,4.27,-7.595,4.81